Computed, not measured: crystalline CsRb6Tl6 at its relaxed geometry at the PBE level of DFT.

Unit cell a=7.2745 b=9.9227 c=9.9227 alpha=83.79 beta=68.50 gamma=68.50
With the nearest neighbours (Å) after each atom.
Positions (direct):
Cs1 0.0000 0.0000 0.0000  8 Rb 4.29-4.40
Rb1 0.3421 0.6579 0.6579  6 Tl 3.96-4.01, 3 Rb 4.06-4.22, 1 Cs 4.40
Rb2 0.6579 0.3421 0.3421  6 Tl 3.96-4.01, 3 Rb 4.06-4.22, 1 Cs 4.40
Rb3 0.0000 0.3252 0.6748  6 Tl 3.81-3.82
Rb4 0.0000 0.6748 0.3252  6 Tl 3.81-3.82
Rb5 0.3237 0.1763 0.1763  6 Tl 3.89-3.90, 2 Rb 4.22, 2 Cs 4.29
Rb6 0.6763 0.8237 0.8237  6 Tl 3.89-3.90, 2 Rb 4.22, 2 Cs 4.29
Tl1 0.0000 0.5000 0.0000  4 Tl 3.64-3.70, 6 Rb 3.82-3.96
Tl2 0.5000 0.5000 0.0000  4 Tl 3.64-3.70, 6 Rb 3.82-3.96
Tl3 0.0000 0.0000 0.5000  4 Tl 3.64-3.70, 6 Rb 3.82-3.96
Tl4 0.5000 0.0000 0.5000  4 Tl 3.64-3.70, 6 Rb 3.82-3.96
Tl5 0.5000 0.7611 0.2389  4 Tl 3.70, 6 Rb 3.81-4.01
Tl6 0.5000 0.2389 0.7611  4 Tl 3.70, 6 Rb 3.81-4.01

Calculated values
* SG: No. 71
* formation enthalpy at 0 K: -0.93 kJ/mol of atoms
* magnetic moment: 0.0 μB per cell